# ZrTa2Au | Alexandria | GGA-PBEsol | relaxed
data_ZrTa2Au
_chemical_formula_sum 'Zr1 Ta2 Au1'
_space_group_name_H-M_alt 'P 1'
_space_group_IT_number 1
_space_group_name_Hall 'P 1'
_cell_length_a 3.496
_cell_length_b 4.484
_cell_length_c 4.620
_cell_angle_alpha 90.00
_cell_angle_beta 90.00
_cell_angle_gamma 90.00
loop_
_atom_site_label
_atom_site_type_symbol
_atom_site_fract_x
_atom_site_fract_y
_atom_site_fract_z
Au1 Au 0.000 0.500 0.500
Ta1 Ta 0.000 0.000 0.000
Ta2 Ta 0.500 0.500 0.000
Zr1 Zr 0.500 0.000 0.500
# Space group: Pmmm, No. 47
# Density of states at the Fermi level in states/eV/cell: 3.8
# Magnetization in μB/cell: 0.00
# Relative energy among the computed polymorphs in meV per atom: 12
# Energy relative to the elements in kJ per mole of atoms: -8.90


# ZrTa2Au | Alexandria | GGA-PBEsol | relaxed
data_ZrTa2Au
_chemical_formula_sum 'Zr1 Ta2 Au1'
_space_group_name_H-M_alt 'P 1'
_space_group_IT_number 1
_space_group_name_Hall 'P 1'
_cell_length_a 4.677
_cell_length_b 4.677
_cell_length_c 4.677
_cell_angle_alpha 60.00
_cell_angle_beta 60.00
_cell_angle_gamma 60.00
loop_
_atom_site_label
_atom_site_type_symbol
_atom_site_fract_x
_atom_site_fract_y
_atom_site_fract_z
Au1 Au 0.500 0.500 0.500
Ta1 Ta 0.000 0.000 0.000
Ta2 Ta 0.750 0.750 0.750
Zr1 Zr 0.250 0.250 0.250
# Space group: F-43m, No. 216
# Density of states at the Fermi level in states/eV/cell: 3.4
# Magnetization in μB/cell: 0.00
# Relative energy among the computed polymorphs in meV per atom: 53
# Energy relative to the elements in kJ per mole of atoms: -4.95


# ZrTaAu2 | Alexandria | GGA-PBEsol | relaxed
data_ZrTaAu2
_chemical_formula_sum 'Zr1 Ta1 Au2'
_space_group_name_H-M_alt 'P 1'
_space_group_IT_number 1
_space_group_name_Hall 'P 1'
_cell_length_a 3.003
_cell_length_b 3.003
_cell_length_c 8.094
_cell_angle_alpha 90.00
_cell_angle_beta 90.00
_cell_angle_gamma 90.00
loop_
_atom_site_label
_atom_site_type_symbol
_atom_site_fract_x
_atom_site_fract_y
_atom_site_fract_z
Au1 Au 0.000 0.000 0.007
Au2 Au 0.500 0.500 0.253
Ta1 Ta 0.000 0.000 0.485
Zr1 Zr 0.500 0.500 0.755
# Space group: P4mm, No. 99
# Density of states at the Fermi level in states/eV/cell: 3.1
# Magnetization in μB/cell: 0.00
# Energy relative to the elements in kJ per mole of atoms: -21.34


# ZrTa2Au | Alexandria | GGA-PBEsol | relaxed
data_ZrTa2Au
_chemical_formula_sum 'Zr1 Ta2 Au1'
_space_group_name_H-M_alt 'P 1'
_space_group_IT_number 1
_space_group_name_Hall 'P 1'
_cell_length_a 2.882
_cell_length_b 2.882
_cell_length_c 8.976
_cell_angle_alpha 90.00
_cell_angle_beta 90.00
_cell_angle_gamma 102.31
loop_
_atom_site_label
_atom_site_type_symbol
_atom_site_fract_x
_atom_site_fract_y
_atom_site_fract_z
Au1 Au 0.500 0.500 0.242
Ta1 Ta 0.000 0.000 0.002
Ta2 Ta 0.500 0.500 0.758
Zr1 Zr 0.000 0.000 0.497
# Space group: Cmm2, No. 35
# Density of states at the Fermi level in states/eV/cell: 4.3
# Magnetization in μB/cell: 0.00
# Relative energy among the computed polymorphs in meV per atom: 0
# Energy relative to the elements in kJ per mole of atoms: -10.09


# TbAu2 | Alexandria | GGA-PBEsol | relaxed
data_TbAu2
_chemical_formula_sum 'Tb1 Au2'
_space_group_name_H-M_alt 'P 1'
_space_group_IT_number 1
_space_group_name_Hall 'P 1'
_cell_length_a 5.172
_cell_length_b 5.172
_cell_length_c 5.172
_cell_angle_alpha 138.25
_cell_angle_beta 138.25
_cell_angle_gamma 60.52
loop_
_atom_site_label
_atom_site_type_symbol
_atom_site_fract_x
_atom_site_fract_y
_atom_site_fract_z
Au1 Au 0.666 0.666 0.000
Au2 Au 0.334 0.334 0.000
Tb1 Tb 0.000 0.000 0.000
# Space group: I4/mmm, No. 139
# Density of states at the Fermi level in states/eV/cell: 1.1
# Magnetization in μB/cell: 0.00
# Energy relative to the elements in kJ per mole of atoms: -83.45


# Tb2Au | Alexandria | GGA-PBEsol | relaxed
data_Tb2Au
_chemical_formula_sum 'Tb8 Au4'
_space_group_name_H-M_alt 'P 1'
_space_group_IT_number 1
_space_group_name_Hall 'P 1'
_cell_length_a 4.901
_cell_length_b 6.971
_cell_length_c 8.862
_cell_angle_alpha 90.00
_cell_angle_beta 90.00
_cell_angle_gamma 90.00
loop_
_atom_site_label
_atom_site_type_symbol
_atom_site_fract_x
_atom_site_fract_y
_atom_site_fract_z
Tb1 Tb 0.750 0.153 0.583
Tb2 Tb 0.250 0.490 0.678
Tb3 Tb 0.250 0.990 0.822
Tb4 Tb 0.750 0.653 0.917
Tb5 Tb 0.250 0.347 0.083
Tb6 Tb 0.750 0.010 0.178
Tb7 Tb 0.750 0.510 0.322
Tb8 Tb 0.250 0.847 0.417
Au1 Au 0.750 0.742 0.596
Au2 Au 0.750 0.242 0.904
Au3 Au 0.250 0.758 0.096
Au4 Au 0.250 0.258 0.404
# Space group: Pnma, No. 62
# Density of states at the Fermi level in states/eV/cell: 11.8
# Magnetization in μB/cell: 0.00
# Energy relative to the elements in kJ per mole of atoms: -61.15


# TbAu | Alexandria | GGA-PBEsol | relaxed
data_TbAu
_chemical_formula_sum 'Tb1 Au1'
_space_group_name_H-M_alt 'P 1'
_space_group_IT_number 1
_space_group_name_Hall 'P 1'
_cell_length_a 3.553
_cell_length_b 3.553
_cell_length_c 3.553
_cell_angle_alpha 90.00
_cell_angle_beta 90.00
_cell_angle_gamma 90.00
loop_
_atom_site_label
_atom_site_type_symbol
_atom_site_fract_x
_atom_site_fract_y
_atom_site_fract_z
Au1 Au 0.500 0.500 0.500
Tb1 Tb 0.000 0.000 0.000
# Space group: Pm-3m, No. 221
# Density of states at the Fermi level in states/eV/cell: 1.0
# Magnetization in μB/cell: 0.00
# Energy relative to the elements in kJ per mole of atoms: -82.13


# Tb14Au51 | Alexandria | GGA-PBEsol | relaxed
data_Tb14Au51
_chemical_formula_sum 'Tb14 Au51'
_space_group_name_H-M_alt 'P 1'
_space_group_IT_number 1
_space_group_name_Hall 'P 1'
_cell_length_a 9.108
_cell_length_b 12.558
_cell_length_c 12.558
_cell_angle_alpha 120.00
_cell_angle_beta 90.00
_cell_angle_gamma 90.00
loop_
_atom_site_label
_atom_site_type_symbol
_atom_site_fract_x
_atom_site_fract_y
_atom_site_fract_z
Tb1 Tb 0.500 0.537 0.678
Tb2 Tb 0.500 0.141 0.463
Tb3 Tb 0.500 0.322 0.859
Tb4 Tb 0.500 0.466 0.325
Tb5 Tb 0.500 0.858 0.534
Tb6 Tb 0.500 0.675 0.142
Tb7 Tb 0.000 0.889 0.273
Tb8 Tb 0.000 0.384 0.111
Tb9 Tb 0.000 0.727 0.616
Tb10 Tb 0.000 0.114 0.713
Tb11 Tb 0.000 0.600 0.886
Tb12 Tb 0.000 0.287 0.400
Tb13 Tb 0.698 0.000 0.000
Tb14 Tb 0.302 0.000 0.000
Au1 Au 0.848 0.509 0.626
Au2 Au 0.848 0.117 0.491
Au3 Au 0.848 0.374 0.883
Au4 Au 0.849 0.497 0.381
Au5 Au 0.849 0.884 0.503
Au6 Au 0.849 0.619 0.116
Au7 Au 0.151 0.497 0.381
Au8 Au 0.151 0.884 0.503
Au9 Au 0.151 0.619 0.116
Au10 Au 0.152 0.509 0.626
Au11 Au 0.152 0.117 0.491
Au12 Au 0.152 0.374 0.883
Au13 Au 0.000 0.333 0.667
Au14 Au 0.000 0.667 0.333
Au15 Au 0.663 0.898 0.338
Au16 Au 0.663 0.440 0.102
Au17 Au 0.663 0.662 0.560
Au18 Au 0.663 0.102 0.658
Au19 Au 0.663 0.555 0.898
Au20 Au 0.663 0.342 0.445
Au21 Au 0.337 0.102 0.658
Au22 Au 0.337 0.555 0.898
Au23 Au 0.337 0.342 0.445
Au24 Au 0.337 0.898 0.338
Au25 Au 0.337 0.440 0.102
Au26 Au 0.337 0.662 0.560
Au27 Au 0.764 0.809 0.081
Au28 Au 0.764 0.272 0.191
Au29 Au 0.764 0.919 0.728
Au30 Au 0.773 0.188 0.925
Au31 Au 0.773 0.737 0.812
Au32 Au 0.773 0.075 0.263
Au33 Au 0.227 0.188 0.925
Au34 Au 0.227 0.737 0.812
Au35 Au 0.227 0.075 0.263
Au36 Au 0.236 0.809 0.081
Au37 Au 0.236 0.272 0.191
Au38 Au 0.236 0.919 0.728
Au39 Au 0.686 0.333 0.667
Au40 Au 0.687 0.667 0.333
Au41 Au 0.313 0.667 0.333
Au42 Au 0.314 0.333 0.667
Au43 Au 0.500 0.943 0.177
Au44 Au 0.500 0.234 0.057
Au45 Au 0.500 0.823 0.766
Au46 Au 0.500 0.059 0.818
Au47 Au 0.500 0.758 0.941
Au48 Au 0.500 0.182 0.242
Au49 Au 0.000 0.863 0.978
Au50 Au 0.000 0.115 0.137
Au51 Au 0.000 0.022 0.885
# Space group: P-6, No. 174
# Density of states at the Fermi level in states/eV/cell: 24.6
# Magnetization in μB/cell: 0.00
# Energy relative to the elements in kJ per mole of atoms: -62.46


# Tc3Au | Alexandria | GGA-PBEsol | relaxed
data_Tc3Au
_chemical_formula_sum 'Tc3 Au1'
_space_group_name_H-M_alt 'P 1'
_space_group_IT_number 1
_space_group_name_Hall 'P 1'
_cell_length_a 2.721
_cell_length_b 2.721
_cell_length_c 7.919
_cell_angle_alpha 90.00
_cell_angle_beta 90.00
_cell_angle_gamma 90.00
loop_
_atom_site_label
_atom_site_type_symbol
_atom_site_fract_x
_atom_site_fract_y
_atom_site_fract_z
Au1 Au 0.000 0.000 0.000
Tc1 Tc 0.000 0.000 0.500
Tc2 Tc 0.500 0.500 0.268
Tc3 Tc 0.500 0.500 0.732
# Space group: P4/mmm, No. 123
# Density of states at the Fermi level in states/eV/cell: 4.0
# Magnetization in μB/cell: 0.00
# Energy relative to the elements in kJ per mole of atoms: 17.21


# Tc2Au3 | Alexandria | GGA-PBEsol | relaxed
data_Tc2Au3
_chemical_formula_sum 'Tc2 Au3'
_space_group_name_H-M_alt 'P 1'
_space_group_IT_number 1
_space_group_name_Hall 'P 1'
_cell_length_a 2.781
_cell_length_b 2.781
_cell_length_c 11.737
_cell_angle_alpha 83.20
_cell_angle_beta 83.20
_cell_angle_gamma 60.00
loop_
_atom_site_label
_atom_site_type_symbol
_atom_site_fract_x
_atom_site_fract_y
_atom_site_fract_z
Au1 Au 0.000 0.000 0.000
Au2 Au 0.202 0.202 0.394
Au3 Au 0.798 0.798 0.606
Tc1 Tc 0.399 0.399 0.802
Tc2 Tc 0.601 0.601 0.198
# Space group: R-3m, No. 166
# Density of states at the Fermi level in states/eV/cell: 3.8
# Magnetization in μB/cell: 0.00
# Energy relative to the elements in kJ per mole of atoms: 30.30


# TcTe2Au | Alexandria | GGA-PBEsol | relaxed
data_TcTe2Au
_chemical_formula_sum 'Tc1 Te2 Au1'
_space_group_name_H-M_alt 'P 1'
_space_group_IT_number 1
_space_group_name_Hall 'P 1'
_cell_length_a 3.398
_cell_length_b 4.828
_cell_length_c 4.828
_cell_angle_alpha 98.40
_cell_angle_beta 90.00
_cell_angle_gamma 90.00
loop_
_atom_site_label
_atom_site_type_symbol
_atom_site_fract_x
_atom_site_fract_y
_atom_site_fract_z
Au1 Au 0.500 0.000 0.000
Tc1 Tc 0.500 0.500 0.500
Te1 Te 0.000 0.500 0.000
Te2 Te 0.000 0.000 0.500
# Space group: Cmmm, No. 65
# Density of states at the Fermi level in states/eV/cell: 4.4
# Magnetization in μB/cell: 0.00
# Relative energy among the computed polymorphs in meV per atom: 417
# Uncorrected formation energy in eV/atom: 0.5298


# TcTe2Au | Alexandria | GGA-PBEsol | relaxed
data_TcTe2Au
_chemical_formula_sum 'Tc1 Te2 Au1'
_space_group_name_H-M_alt 'P 1'
_space_group_IT_number 1
_space_group_name_Hall 'P 1'
_cell_length_a 3.206
_cell_length_b 5.161
_cell_length_c 6.281
_cell_angle_alpha 105.03
_cell_angle_beta 90.00
_cell_angle_gamma 108.09
loop_
_atom_site_label
_atom_site_type_symbol
_atom_site_fract_x
_atom_site_fract_y
_atom_site_fract_z
Au1 Au 0.565 0.131 0.662
Tc1 Tc 0.280 0.560 0.621
Te1 Te 0.926 0.851 0.936
Te2 Te 0.729 0.458 0.281
# Space group: Cm, No. 8
# Density of states at the Fermi level in states/eV/cell: 2.4
# Magnetization in μB/cell: 0.00
# Relative energy among the computed polymorphs in meV per atom: 125
# Uncorrected formation energy in eV/atom: 0.2381